Ba2U3FeO12 | PBE with a Hubbard U | optimized geometry

## Properties
* calculated volume: 18.2 A^3/atom
* DFT total energy: -8.470 eV/atom

Cell lengths 8.0339, 8.0339, 17.5596 Å; angles 90.00, 90.00, 120.00 degrees
Space group R-3m (No. 166, hexagonal axes)
Inequivalent atoms, fractional coordinates:
Ba 0.0000 0.0000 0.1692 (multiplicity 6)
U 0.0000 0.5000 0.0000 (multiplicity 9)
Fe 0.0000 0.0000 0.5000 (multiplicity 3)
O 0.0813 0.5406 0.1051 (multiplicity 18)
O 0.0887 0.5444 0.3727 (multiplicity 18)